First-principles (GGA-PBE) data for crystalline TaNi8B4 at its relaxed geometry, as listed in Alexandria.

Lattice parameters (Å, degrees): 4.3958 5.7390 5.7390 81.57 67.48 67.48
Atoms (fractional coordinates):
B: 0.5000 0.0000 0.5000
B: 0.0000 0.0000 0.5000
B: 0.0000 0.5000 0.0000
B: 0.5000 0.5000 0.0000
Ni: 0.7205 0.7795 0.7795
Ni: 0.3373 0.6627 0.6627
Ni: 0.6627 0.3373 0.3373
Ni: 0.0000 0.3373 0.6627
Ni: 0.5000 0.7795 0.2205
Ni: 0.5000 0.2205 0.7795
Ni: 0.2795 0.2205 0.2205
Ni: 0.0000 0.6627 0.3373
Ta: 0.0000 0.0000 0.0000

Computed properties:
Size of the total moment: 0.000 μB/atom
Mass density: 9.3 g/cm3
Energy relative to the elements: -0.14 eV per atom